VASP calculation (GGA-PBE) on HgOsN2F after structural relaxation.

Calculated values
**ΔE_f (raw)**: 2375 meV/atom
**VASP energy**: -3.64 eV per atom

a b c (Å): 4.2057 4.2057 4.2872
angles (deg): 90.00 90.00 90.00
Closest atoms and distances in Å follow each position.
Element x y z (fractional)
1 Hg 0.0000 0.0000 0.0000  4 N 2.10, 2 F 2.14
2 Os 0.5000 0.5000 0.5000  4 F 2.97, 8 N 3.00
3 N 0.0000 0.5000 0.0000  2 Hg 2.10
4 N 0.5000 0.0000 0.0000  2 Hg 2.10
5 F 0.0000 0.0000 0.5000  2 Hg 2.14